No. 1
# Li3Cl

Li3Cl after structural relaxation (PBE, Alexandria).

a b c (Å): 6.9222 6.9222 6.9222
angles (deg): 90.00 90.00 90.00
Space group Fm-3m (No. 225)
One atom of each set of equivalent atoms:
Li 0.0000 0.0000 0.0000 x4
Li 0.2500 0.2500 0.2500 x8
Cl 0.0000 0.0000 0.5000 x4

Calculated values
Magnetic moment in μB per formula unit: 0.00
Excess energy over the best structure of this formula in the dataset in eV/f.u.: 1.65

No. 2
# Li3Cl

Li3Cl after structural relaxation (PBE, Alexandria).

a b c (Å): 4.1696 4.1696 4.1434
angles (deg): 90.00 90.00 90.00
Space group P4/mmm (No. 123)
One atom of each set of equivalent atoms:
Li 0.0000 0.0000 0.0000 x1
Li 0.0000 0.5000 0.5000 x2
Cl 0.5000 0.5000 0.0000 x1

Calculated values
Magnetic moment in μB per formula unit: 0.00
Excess energy over the best structure of this formula in the dataset in eV/f.u.: 0.61

No. 3
# Li2Cl3

Li2Cl3 after structural relaxation (PBE, Alexandria).

a b c (Å): 3.8422 3.8422 23.6909
angles (deg): 90.00 90.00 120.00
Space group R-3m (No. 166, hexagonal axes)
One atom of each set of equivalent atoms:
Li 0.0000 0.0000 0.0992 x6
Cl 0.0000 0.0000 0.2768 x6
Cl 0.0000 0.0000 0.5000 x3

Calculated values
Magnetic moment in μB per formula unit: 1.02
Excess energy over the best structure of this formula in the dataset in eV/f.u.: 0.04

No. 4
# Li5Cl4

Li5Cl4 after structural relaxation (PBE, Alexandria).

a b c (Å): 7.4685 7.4685 7.2559
angles (deg): 90.00 90.00 120.00
Space group P6_3/mcm (No. 193)
One atom of each set of equivalent atoms:
Li 0.0000 0.2446 0.2500 x6
Li 0.3333 0.6667 0.0000 x4
Cl 0.0000 0.0000 0.0000 x2
Cl 0.0000 0.4184 0.7500 x6

Calculated values
Magnetic moment in μB per formula unit: 0.00
Electronic total energy in eV per atom: -3.223

No. 5
# LiCl

LiCl after structural relaxation (PBE, Alexandria).

a b c (Å): 3.4668 8.3051 3.4301
angles (deg): 90.00 90.00 90.00
Space group Cmmm (No. 65)
One atom of each set of equivalent atoms:
Li 0.0000 0.0000 0.0000 x2
Cl 0.0000 0.5000 0.5000 x2

Calculated values
Magnetic moment in μB per formula unit: 0.00
Electronic total energy in eV per atom: -3.582

No. 6
# LiCl

LiCl after structural relaxation (PBE, Alexandria).

a b c (Å): 3.2796 3.2796 3.2796
angles (deg): 90.00 90.00 90.00
Space group Pm-3m (No. 221)
One atom of each set of equivalent atoms:
Li 0.0000 0.0000 0.0000 x1
Cl 0.5000 0.5000 0.5000 x1

Calculated values
Magnetic moment in μB per formula unit: 0.00
Electronic total energy in eV per atom: -3.408

No. 7
# LiCl

LiCl after structural relaxation (PBE, Alexandria).

a b c (Å): 6.8044 6.8044 6.8044
angles (deg): 90.00 90.00 90.00
Space group Pm-3n (No. 223)
One atom of each set of equivalent atoms:
Li 0.0000 0.2500 0.5000 x6
Cl 0.0000 0.5000 0.2500 x6

Calculated values
Magnetic moment in μB per formula unit: 0.00
Electronic total energy in eV per atom: -3.676

No. 8
# LiCl

LiCl after structural relaxation (PBE, Alexandria).

a b c (Å): 7.5153 7.5153 7.5153
angles (deg): 90.00 90.00 90.00
Space group I-43m (No. 217)
One atom of each set of equivalent atoms:
Li 0.1514 0.1514 0.1514 x8
Cl 0.1696 0.1696 0.8304 x8

Calculated values
Magnetic moment in μB per formula unit: 0.00
Electronic total energy in eV per atom: -3.672

No. 9
# LiCl

LiCl after structural relaxation (PBE, Alexandria).

a b c (Å): 10.5183 10.5183 4.0536
angles (deg): 90.00 90.00 90.00
Space group P4/m (No. 83)
One atom of each set of equivalent atoms:
Li 0.0907 0.3791 0.0000 x4
Li 0.1228 0.7168 0.5000 x4
Cl 0.1077 0.2627 0.5000 x4
Cl 0.1434 0.5981 0.0000 x4

Calculated values
Magnetic moment in μB per formula unit: 0.00
Electronic total energy in eV per atom: -3.677

No. 10
# LiCl

LiCl after structural relaxation (PBE, Alexandria).

a b c (Å): 16.7731 3.4525 3.4570
angles (deg): 90.00 101.81 90.00
Space group C2/m (No. 12)
One atom of each set of equivalent atoms:
Li 0.1247 0.0000 0.3748 x4
Cl 0.1247 0.5000 0.8747 x4

Calculated values
Magnetic moment in μB per formula unit: 0.00
Electronic total energy in eV per atom: -3.595